Compound: NdDy4In3
Source: Alexandria via LeMat-Bulk
Functional: GGA-PBE
Structure: optimized geometry

Calculated values
Formation energy from the elements: -0.22 eV/atom
Symmetry: No. 71
Total magnetization: 0.4 μB/cell
Distance to the lowest polymorph of the same formula: 0.089 eV/atom

Lattice parameters (Å, degrees): 3.5008 8.7915 9.0180 119.17 101.19 90.00
Each line ends with the local moment (μB).
Sites, in units of the cell vectors:
Dy  0.3596  0.5569  0.7191  0.03
Dy  0.3596  0.1623  0.7192  0.03
Dy  0.6404  0.4431  0.2809  0.03
Dy  0.6404  0.8377  0.2808  0.03
Nd  0.5000  0.0000  0.0000  0.15
In  0.1867  0.1866  0.3733  -0.01
In  0.8133  0.8134  0.6267  -0.01
In  0.0000  0.5000  0.0000  -0.01